# 1
Crystalline CuRu2Se at its relaxed geometry. Source: Alexandria, functional GGA-PBE.

The structure in extended XYZ format:
```
4
Lattice="4.6464 0.0000 0.0000 1.3116 4.4574 0.0000 -2.9790 -2.2287 2.7834" Properties=species:S:1:pos:R:3 pbc="T T T"
Se 2.9790 2.2287 0.0000
Cu 2.3232 0.0000 1.3917
Ru 0.6558 2.2287 1.3917
Ru 0.0000 0.0000 0.0000
```

Raw formation energy in eV per atom: 0.47
Total magnetization in μB per formula unit: 0.001


# 2
Crystalline CuRu2Se at its relaxed geometry. Source: Alexandria, functional GGA-PBE.

The structure in extended XYZ format:
```
4
Lattice="-7.6259 3.5508 -1.4962 -7.8252 3.1689 1.3135 -6.5435 5.4868 0.2816" Properties=species:S:1:pos:R:3 pbc="T T T"
Cu -16.4779 9.1449 0.0741
Se -11.0596 6.1378 0.0497
Ru -5.4899 3.0468 0.0247
Ru -21.9588 12.1867 0.0987
```

Raw formation energy in eV per atom: 0.31
Total magnetization in μB per formula unit: 0.000


# 3
Crystalline CuRu2Se at its relaxed geometry. Source: Alexandria, functional GGA-PBE.

The structure in extended XYZ format:
```
4
Lattice="-1.8569 -0.3486 3.9150 2.3814 -1.1881 3.4371 0.9238 2.8941 3.1092" Properties=species:S:1:pos:R:3 pbc="T T T"
Se 1.0862 1.0181 7.8460
Cu 0.7242 0.6787 5.2306
Ru 0.3621 0.3394 2.6153
Ru 0.0000 0.0000 0.0000
```

Raw formation energy in eV per atom: 0.47
Total magnetization in μB per formula unit: 0.001


# 4
Crystalline Cu3RuSe at its relaxed geometry. Source: Alexandria, functional GGA-PBE.

The structure in extended XYZ format:
```
5
Lattice="4.4293 0.0000 0.0000 0.0000 4.4293 0.0000 0.0000 0.0000 4.4293" Properties=species:S:1:pos:R:3 pbc="T T T"
Ru 2.2146 2.2146 2.2146
Cu 0.0000 0.0000 2.2146
Cu 2.2146 0.0000 0.0000
Cu 0.0000 2.2146 0.0000
Se 0.0000 0.0000 0.0000
```

E above lowest polymorph in eV per formula unit: 0.000
Raw formation energy in eV per atom: 1.00
Total magnetization in μB per formula unit: 1.280


# 5
Crystalline CuRu2Se at its relaxed geometry. Source: Alexandria, functional GGA-PBE.

The structure in extended XYZ format:
```
4
Lattice="-2.9202 -4.8575 5.7262 -1.6947 -6.8173 3.9452 -0.0695 -5.4420 5.9407" Properties=species:S:1:pos:R:3 pbc="T T T"
Cu -3.5133 -12.8375 11.7091
Ru -4.6673 -17.0544 15.5553
Ru -2.3592 -8.6206 7.8629
Se -1.1711 -4.2792 3.9030
```

Raw formation energy in eV per atom: 0.37
Total magnetization in μB per formula unit: 0.000


# 6
Crystalline CuRuSe3 at its relaxed geometry. Source: Alexandria, functional GGA-PBE.

The structure in extended XYZ format:
```
5
Lattice="-2.1810 3.9491 -1.8254 -2.0603 0.8608 4.3242 3.8318 2.7107 1.2861" Properties=species:S:1:pos:R:3 pbc="T T T"
Se 1.9159 1.3553 0.6430
Ru 0.0000 0.0000 0.0000
Cu -0.2048 3.7603 1.8925
Se -1.0302 0.4304 2.1621
Se -1.0905 1.9746 -0.9127
```

E above lowest polymorph in eV per formula unit: 0.000
Raw formation energy in eV per atom: 0.70
Total magnetization in μB per formula unit: 0.000


# 7
Crystalline CuRu2Se at its relaxed geometry. Source: Alexandria, functional GGA-PBE.

The structure in extended XYZ format:
```
8
Lattice="-0.4237 -2.9622 -4.2263 5.1210 -0.7688 0.0254 1.6145 -6.6424 1.3213" Properties=species:S:1:pos:R:3 pbc="T T T"
Cu 2.3486 -1.8655 -2.1004
Se 1.7697 -5.7351 -2.5027
Ru 2.9226 -6.3735 -0.5846
Cu 4.5420 -4.6384 -0.3769
Ru 3.5554 -2.4826 -0.1410
Ru 0.7748 -3.6369 -2.3490
Ru 5.3707 -8.2539 -2.6846
Se 0.0000 0.0000 0.0000
```

Raw formation energy in eV per atom: 0.90
Total magnetization in μB per formula unit: 0.000


# 8
Crystalline CuRu2Se at its relaxed geometry. Source: Alexandria, functional GGA-PBE.

The structure in extended XYZ format:
```
4
Lattice="-3.6294 1.0011 -3.0888 -4.8333 0.0837 -0.5897 -1.6748 4.2415 0.7502" Properties=species:S:1:pos:R:3 pbc="T T T"
Se -5.0032 2.8831 -1.3519
Ru -0.2796 0.4825 0.0424
Cu -2.5637 0.9362 -0.8914
Ru -7.3595 3.6877 -2.1917
```

Raw formation energy in eV per atom: 0.32
Total magnetization in μB per formula unit: 0.000


# 9
Crystalline CuRu4Se at its relaxed geometry. Source: Alexandria, functional GGA-PBE.

The structure in extended XYZ format:
```
6
Lattice="-2.8836 -2.5599 3.3773 -0.2932 1.6079 4.8583 -4.3453 2.0773 1.7544" Properties=species:S:1:pos:R:3 pbc="T T T"
Ru -2.8215 0.4221 3.7472
Se -5.6416 0.8440 7.4925
Cu 0.0000 0.0000 0.0000
Ru -4.9926 1.4600 4.6237
Ru -4.2622 -0.8570 5.4346
Ru -2.9679 1.2255 6.1746
```

Raw formation energy in eV per atom: 0.81
Total magnetization in μB per formula unit: 2.469


# 10
Crystalline CuRu2Se at its relaxed geometry. Source: Alexandria, functional GGA-PBE.

The structure in extended XYZ format:
```
4
Lattice="5.0620 0.0050 0.0014 -2.0917 4.6096 0.0014 0.7393 1.1486 2.4989" Properties=species:S:1:pos:R:3 pbc="T T T"
Ru 1.4851 2.3073 0.0014
Se 2.9007 0.5768 1.2502
Ru 0.0000 0.0000 0.0000
Cu -0.6762 2.8791 1.2502
```

Raw formation energy in eV per atom: 0.53
Total magnetization in μB per formula unit: 0.003


# 11
Crystalline CuRu3Se at its relaxed geometry. Source: Alexandria, functional GGA-PBE.

The structure in extended XYZ format:
```
5
Lattice="-3.4845 2.2443 1.6830 -2.4244 -3.7594 -0.0064 1.4112 -0.9171 4.1447" Properties=species:S:1:pos:R:3 pbc="T T T"
Se -2.2489 -1.2161 2.9107
Ru -1.7423 1.1221 0.8415
Ru -1.2122 -1.8797 -0.0032
Ru 0.7056 -0.4585 2.0724
Cu 0.0000 0.0000 0.0000
```

E above lowest polymorph in eV per formula unit: 2.703
Raw formation energy in eV per atom: 1.70
Total magnetization in μB per formula unit: 0.000


# 12
Crystalline Cu3RuSe at its relaxed geometry. Source: Alexandria, functional GGA-PBE.

The structure in extended XYZ format:
```
5
Lattice="-1.9398 -4.2051 0.3571 3.9368 -1.6615 1.8205 -1.5204 1.0629 4.2581" Properties=species:S:1:pos:R:3 pbc="T T T"
Se 0.2383 -2.4018 3.2178
Cu -0.9699 -2.1025 0.1785
Cu -0.7602 0.5315 2.1290
Cu 1.9684 -0.8307 0.9102
Ru 0.0000 0.0000 0.0000
```

E above lowest polymorph in eV per formula unit: 1.411
Raw formation energy in eV per atom: 1.28
Total magnetization in μB per formula unit: 2.241


- Which of these has the highest total magnetization?
  CuRu4Se


- Look up the total magnetization of the sixth one.
  0.000 μB per formula unit


Copy entry 11 word for word.
Crystalline CuRu3Se at its relaxed geometry. Source: Alexandria, functional GGA-PBE.

The structure in extended XYZ format:
```
5
Lattice="-3.4845 2.2443 1.6830 -2.4244 -3.7594 -0.0064 1.4112 -0.9171 4.1447" Properties=species:S:1:pos:R:3 pbc="T T T"
Se -2.2489 -1.2161 2.9107
Ru -1.7423 1.1221 0.8415
Ru -1.2122 -1.8797 -0.0032
Ru 0.7056 -0.4585 2.0724
Cu 0.0000 0.0000 0.0000
```

E above lowest polymorph in eV per formula unit: 2.703
Raw formation energy in eV per atom: 1.70
Total magnetization in μB per formula unit: 0.000